TlGe2MoO6 | Alexandria via LeMat-Bulk | PBE with a Hubbard U | optimized geometry; calculated total energy = -6.205 eV/atom; DOS(E_F) = 0.0 states/eV/f.u.; symmetry = C2/c
1.0
5.410 0.335 0.347
2.253 8.528 -0.250
2.253 -0.566 8.513
Tl Ge Mo O
2 4 2 12
direct
0.250 0.911 0.089
0.750 0.089 0.911
0.493 0.792 0.652
0.007 0.348 0.208
0.507 0.208 0.348
0.993 0.652 0.792
0.250 0.226 0.774
0.750 0.774 0.226
0.366 0.974 0.785
0.134 0.215 0.026
0.634 0.026 0.215
0.866 0.785 0.974
0.689 0.806 0.458
0.811 0.542 0.194
0.311 0.194 0.542
0.189 0.458 0.806
0.206 0.736 0.647
0.294 0.353 0.264
0.794 0.264 0.353
0.706 0.647 0.736